Record 1
GaCuNiAg: relaxed, PBE-GGA.

a = 4.275 Å, b = 4.275 Å, c = 4.275 Å
α = 60.00°, β = 60.00°, γ = 60.00°
Sites, in units of the cell vectors:
Ni 0.500 0.500 0.500
Ag 0.000 0.000 0.000
Cu 0.750 0.750 0.750
Ga 0.250 0.250 0.250

**Uncorrected energy**: -15.82 eV/cell
**Calculated volume**: 55.26 Å³/cell


Record 2
PaGaCuAg: relaxed, PBE-GGA.

a = 4.748 Å, b = 4.748 Å, c = 4.748 Å
α = 60.00°, β = 60.00°, γ = 60.00°
Sites, in units of the cell vectors:
Cu 0.250 0.250 0.250
Ga 0.750 0.750 0.750
Pa 0.500 0.500 0.500
Ag 0.000 0.000 0.000

**Uncorrected energy**: -19.49 eV/cell
**Calculated volume**: 75.69 Å³/cell


Record 3
GaCuAgPb2: relaxed, PBE-GGA.

a = 5.505 Å, b = 4.561 Å, c = 5.505 Å
α = 90.00°, β = 90.00°, γ = 90.00°
Sites, in units of the cell vectors:
Ag 0.500 0.500 0.500
Pb 0.000 0.000 0.500
Ga 0.000 0.000 0.000
Pb 0.500 0.000 0.000
Cu 0.000 0.500 0.000

**Uncorrected energy**: -14.98 eV/cell
**Calculated volume**: 138.25 Å³/cell


Record 4
GaCuAgPd: relaxed, PBE-GGA.

a = 4.391 Å, b = 4.391 Å, c = 4.391 Å
α = 60.00°, β = 60.00°, γ = 60.00°
Sites, in units of the cell vectors:
Ga 0.750 0.750 0.750
Ag 0.500 0.500 0.500
Cu 0.250 0.250 0.250
Pd 0.000 0.000 0.000

**Uncorrected energy**: -15.96 eV/cell
**Calculated volume**: 59.88 Å³/cell


Record 5
Pm2Ga4Cu3Ag: relaxed, PBE-GGA.

a = 4.240 Å, b = 4.240 Å, c = 10.316 Å
α = 90.00°, β = 90.00°, γ = 90.00°
Sites, in units of the cell vectors:
Ga 0.000 0.000 0.000
Ag 0.500 0.500 0.500
Cu 0.500 0.000 0.874
Pm 0.000 0.500 0.756
Ga 0.500 0.000 0.642
Pm 0.500 0.000 0.244
Cu 0.000 0.000 0.500
Cu 0.000 0.500 0.126
Ga 0.500 0.500 0.000
Ga 0.000 0.500 0.358

**Uncorrected energy**: -40.98 eV/cell
**Calculated volume**: 185.45 Å³/cell


Record 6
Pm2Ga3Cu12Ag: relaxed, PBE-GGA.

a = 7.221 Å, b = 7.221 Å, c = 7.221 Å
α = 71.78°, β = 71.78°, γ = 71.78°
Sites, in units of the cell vectors:
Ga 0.500 0.000 0.000
Cu 0.845 0.845 0.350
Pm 0.601 0.601 0.601
Cu 0.386 0.988 0.386
Cu 0.614 0.012 0.614
Cu 0.845 0.350 0.845
Cu 0.988 0.386 0.386
Cu 0.155 0.155 0.650
Cu 0.012 0.614 0.614
Cu 0.386 0.386 0.988
Cu 0.350 0.845 0.845
Ag 0.000 0.000 0.000
Cu 0.650 0.155 0.155
Pm 0.399 0.399 0.399
Cu 0.155 0.650 0.155
Cu 0.614 0.614 0.012
Ga 0.000 0.000 0.500
Ga 0.000 0.500 0.000

**Uncorrected energy**: -65.77 eV/cell
**Calculated volume**: 329.93 Å³/cell


Record 7
Pm2Ga6CuAg: relaxed, PBE-GGA.

a = 6.320 Å, b = 6.320 Å, c = 12.356 Å
α = 75.18°, β = 75.18°, γ = 60.00°
Sites, in units of the cell vectors:
Ga 0.070 0.670 0.590
Ga 0.330 0.330 0.410
Ag 0.574 0.574 0.279
Ga 0.223 0.649 0.904
Ga 0.330 0.930 0.410
Ga 0.223 0.223 0.904
Ga 0.930 0.330 0.410
Cu 0.000 0.000 0.000
Ga 0.670 0.670 0.590
Ga 0.670 0.070 0.590
Pm 0.720 0.720 0.841
Ga 0.649 0.223 0.904
Cu 0.500 0.500 0.500
Pm 0.893 0.893 0.322
Pm 0.280 0.280 0.159
Pm 0.107 0.107 0.678
Ga 0.777 0.351 0.096
Ga 0.777 0.777 0.096
Ag 0.426 0.426 0.721
Ga 0.351 0.777 0.096

**Uncorrected energy**: -75.47 eV/cell
**Calculated volume**: 408.40 Å³/cell


Record 8
Pm4GaCuAg2: relaxed, PBE-GGA.

a = 5.210 Å, b = 5.210 Å, c = 9.020 Å
α = 73.21°, β = 73.21°, γ = 60.00°
Sites, in units of the cell vectors:
Cu 0.500 0.500 0.500
Ag 0.253 0.253 0.240
Pm 0.378 0.378 0.866
Pm 0.127 0.127 0.618
Pm 0.873 0.873 0.382
Ag 0.747 0.747 0.760
Ga 0.000 0.000 0.000
Pm 0.622 0.622 0.134

**Uncorrected energy**: -34.29 eV/cell
**Calculated volume**: 199.92 Å³/cell


| no. | calculated formation energy (eV per formula unit) |
| --- | --- |
| 1 | -0.1 |
| 2 | 0.0 |
| 3 | 2.4 |
| 4 | -0.8 |
| 5 | -4.2 |
| 6 | 4.8 |
| 7 | -3.1 |
| 8 | -2.5 |